# FeTcHg2 GGA-PBE optimized geometry
# Magnetization = 19.396 μB per cell
# Fermi-level density of states = 2.14 states/eV/f.u.
# Calculated total energy = -3.9189 eV/atom
# ΔE to the lowest computed polymorph = 602 meV per atom
data_FeTcHg2
_chemical_formula_sum 'Fe4 Tc4 Hg8'
_space_group_name_H-M_alt 'I -4 2 d'
_space_group_IT_number 122
_space_group_name_Hall 'I -4 2bw'
_cell_length_a 7.410
_cell_length_b 7.410
_cell_length_c 5.589
_cell_angle_alpha 90.00
_cell_angle_beta 90.00
_cell_angle_gamma 90.00
loop_
_atom_site_label
_atom_site_type_symbol
_atom_site_fract_x
_atom_site_fract_y
_atom_site_fract_z
_atom_site_occupancy
Fe1 Fe 0.000 0.000 0.000 1
Tc1 Tc 0.000 0.000 0.500 1
Hg1 Hg 0.236 0.250 0.125 1